# Ba3InPd3

An optimized crystal structure of Ba3InPd3 (PBE-GGA, Alexandria via LeMat-Bulk). Values from VASP.

Values from the calculation:
The value obtained for the energy is -3.984 eV/atom. For the relative energy among the computed polymorphs, the calculation gives 0 meV/atom. The magnetization comes out at 0.000 μB/f.u. As for the formation energy: -0.544 eV/atom.

```
&SYSTEM
  ibrav = 0, nat = 14, ntyp = 3
/
ATOMIC_SPECIES
Ba 137.33 Ba.upf
In 114.82 In.upf
Pd 106.42 Pd.upf
CELL_PARAMETERS angstrom
4.6114 0.0000 0.0000
-2.3057 5.9797 0.0000
0.0000 0.0000 15.2976
ATOMIC_POSITIONS angstrom
Ba 0.0000 2.5846 13.6732
Ba 2.3057 3.3951 1.6244
Ba 0.0000 2.5846 9.2732
Ba 2.3057 3.3951 6.0244
Ba 0.0000 5.9095 11.4732
Ba 2.3057 0.0701 3.8244
In 2.3057 0.0000 0.0000
In 2.3057 0.0000 7.6488
Pd 2.3057 5.1342 13.9752
Pd 0.0000 0.8454 1.3225
Pd 2.3057 5.1342 8.9713
Pd 0.0000 0.8454 6.3264
Pd 2.3057 3.6189 11.4732
Pd 0.0000 2.3607 3.8244
```